# 1
## Y2BRu3 (PBE-GGA)

Data for Y2BRu3 after structural relaxation.

CIF file:
```
data_Y2BRu3
_chemical_formula_sum 'Y4 B2 Ru6'
_symmetry_space_group_name_H-M 'I m m m'
_symmetry_Int_Tables_number 71
_symmetry_space_group_name_Hall '-I 2 2'
_cell_length_a 3.1896
_cell_length_b 4.9591
_cell_length_c 13.1880
_cell_angle_alpha 90.00
_cell_angle_beta 90.00
_cell_angle_gamma 90.00
loop_
_atom_site_label
_atom_site_type_symbol
_atom_site_fract_x
_atom_site_fract_y
_atom_site_fract_z
Y1 Y 0.0000 0.0000 0.1864
B1 B 0.0000 0.0000 0.5000
Ru1 Ru 0.0000 0.5000 0.1056
Ru2 Ru 0.0000 0.5000 0.5000
```

---

# 2
## MgAlZn3 (PBE-GGA)

Data for MgAlZn3 after structural relaxation.

Values from the calculation:
E above lowest polymorph: 38 meV/atom

CIF file:
```
data_MgAlZn3
_chemical_formula_sum 'Mg4 Al4 Zn12'
_symmetry_space_group_name_H-M 'C m c m'
_symmetry_Int_Tables_number 63
_symmetry_space_group_name_Hall '-C 2c 2'
_cell_length_a 5.1982
_cell_length_b 12.9188
_cell_length_c 5.2515
_cell_angle_alpha 90.00
_cell_angle_beta 90.00
_cell_angle_gamma 90.00
loop_
_atom_site_label
_atom_site_type_symbol
_atom_site_fract_x
_atom_site_fract_y
_atom_site_fract_z
Mg1 Mg 0.0000 0.0813 0.2500
Al1 Al 0.0000 0.5000 0.0000
Zn1 Zn 0.0000 0.3221 0.7500
Zn2 Zn 0.2471 0.1521 0.7500
```

---

# 3
## SrFe2Ag (PBE-GGA)

Data for SrFe2Ag after structural relaxation.

CIF file:
```
data_SrFe2Ag
_chemical_formula_sum 'Sr1 Fe2 Ag1'
_symmetry_space_group_name_H-M 'P 1 2/m 1'
_symmetry_Int_Tables_number 10
_cell_length_a 3.1232
_cell_length_b 4.7483
_cell_length_c 5.8084
_cell_angle_alpha 90.00
_cell_angle_beta 99.26
_cell_angle_gamma 90.00
loop_
_symmetry_equiv_pos_as_xyz
'x,y,z'
'-x,-y,-z'
'-x,y,-z'
'x,-y,z'
loop_
_atom_site_label
_atom_site_type_symbol
_atom_site_fract_x
_atom_site_fract_y
_atom_site_fract_z
Sr1 Sr 0.0000 0.0000 0.0000
Fe1 Fe 0.2897 0.5000 0.6537
Ag1 Ag 0.5000 0.0000 0.5000
```

---

no.,uncorrected energy (eV/cell),energy of formation (eV/atom)
1,-93.77,0.092
2,-36.32,0.016
3,-19.03,0.607